(1)
The following is a DFT calculation (GGA-PBE) of an optimized crystal structure of ZnOsBr2.

Properties
Theoretical density = 8573 kg/m³
Relative energy among the computed polymorphs = 1164 meV per atom

Unit cell a=6.853 b=6.853 c=6.853 alpha=90.00 beta=90.00 gamma=90.00
Fractional positions:
Zn (0.000, 0.000, 0.000)
Zn (0.000, 0.500, 0.500)
Zn (0.500, 0.000, 0.500)
Zn (0.500, 0.500, 0.000)
Os (0.250, 0.250, 0.750)
Os (0.250, 0.750, 0.250)
Os (0.750, 0.250, 0.250)
Os (0.750, 0.750, 0.750)
Br (0.000, 0.000, 0.500)
Br (0.000, 0.500, 0.000)
Br (0.250, 0.250, 0.250)
Br (0.250, 0.750, 0.750)
Br (0.500, 0.000, 0.000)
Br (0.500, 0.500, 0.500)
Br (0.750, 0.250, 0.750)
Br (0.750, 0.750, 0.250)

(2)
The following is a DFT calculation (GGA-PBE) of an optimized crystal structure of Mg2SiNi.

Properties
Theoretical density = 3670 kg/m³

Unit cell a=3.970 b=3.970 c=3.888 alpha=90.00 beta=90.00 gamma=90.00
Fractional positions:
Mg (0.000, 0.500, 0.000)
Mg (0.500, 0.000, 0.000)
Si (0.000, 0.000, 0.500)
Ni (0.500, 0.500, 0.500)

(3)
The following is a DFT calculation (GGA-PBE) of an optimized crystal structure of Ba2RhPb.

Properties
Theoretical density = 7370 kg/m³
Energy relative to the elements = -0.499 eV/f.u.

Unit cell a=4.540 b=5.791 c=10.023 alpha=90.00 beta=90.00 gamma=90.00
Fractional positions:
Ba (0.000, 0.000, 0.208)
Ba (0.000, 0.000, 0.792)
Ba (0.500, 0.500, 0.292)
Ba (0.500, 0.500, 0.708)
Rh (0.000, 0.500, 0.500)
Rh (0.500, 0.000, 0.000)
Pb (0.000, 0.500, 0.000)
Pb (0.500, 0.000, 0.500)

(4)
The following is a DFT calculation (GGA-PBE) of an optimized crystal structure of TbPrMg2Ag4.

Properties
Theoretical density = 7223 kg/m³
Energy relative to the elements = -2.285 eV/f.u.

Unit cell a=8.669 b=8.669 c=8.669 alpha=33.76 beta=33.76 gamma=33.76
Fractional positions:
Tb (0.000, 0.000, 0.000)
Pr (0.500, 0.500, 0.500)
Mg (0.251, 0.251, 0.251)
Mg (0.749, 0.749, 0.749)
Ag (0.122, 0.122, 0.122)
Ag (0.371, 0.371, 0.371)
Ag (0.629, 0.629, 0.629)
Ag (0.878, 0.878, 0.878)

(5)
The following is a DFT calculation (GGA-PBE) of an optimized crystal structure of MgAs2BrF.

Properties
Theoretical density = 4135 kg/m³
Relative energy among the computed polymorphs = 0 meV per atom

Unit cell a=4.314 b=4.314 c=5.891 alpha=90.00 beta=90.00 gamma=90.00
Fractional positions:
Mg (0.000, 0.000, 0.000)
As (0.000, 0.500, 0.500)
As (0.500, 0.000, 0.500)
Br (0.500, 0.500, 0.000)
F (0.500, 0.500, 0.500)

(6)
The following is a DFT calculation (GGA-PBE) of an optimized crystal structure of SiAu3C.

Properties
Theoretical density = 12443 kg/m³
Relative energy among the computed polymorphs = 0 meV per atom

Unit cell a=4.383 b=4.383 c=4.383 alpha=90.00 beta=90.00 gamma=90.00
Fractional positions:
Si (0.000, 0.000, 0.000)
Au (0.000, 0.500, 0.500)
Au (0.500, 0.000, 0.500)
Au (0.500, 0.500, 0.000)
C (0.500, 0.500, 0.500)

(7)
The following is a DFT calculation (GGA-PBE) of an optimized crystal structure of Sr3Te2O7.

Properties
Theoretical density = 5317 kg/m³

Unit cell a=11.093 b=11.093 c=11.093 alpha=157.68 beta=157.68 gamma=31.77
Fractional positions:
Sr (0.000, 0.000, 0.000)
Sr (0.186, 0.186, 0.000)
Sr (0.814, 0.814, 0.000)
Te (0.396, 0.396, 0.000)
Te (0.604, 0.604, 0.000)
O (0.104, 0.604, 0.500)
O (0.298, 0.298, 0.000)
O (0.396, 0.896, 0.500)
O (0.500, 0.500, 0.000)
O (0.604, 0.104, 0.500)
O (0.702, 0.702, 0.000)
O (0.896, 0.396, 0.500)

(8)
The following is a DFT calculation (GGA-PBE) of an optimized crystal structure of Dy6Y5Ho.

Properties
Theoretical density = 6922 kg/m³
Energy relative to the elements = 0.248 eV/f.u.

Unit cell a=6.151 b=6.151 c=11.773 alpha=94.98 beta=94.98 gamma=119.95
Fractional positions:
Dy (0.083, 0.415, 0.250)
Dy (0.250, 0.250, 0.751)
Dy (0.415, 0.083, 0.250)
Dy (0.585, 0.917, 0.750)
Dy (0.750, 0.750, 0.249)
Dy (0.917, 0.585, 0.750)
Y (0.167, 0.833, 0.500)
Y (0.333, 0.667, 0.000)
Y (0.500, 0.500, 0.500)
Y (0.667, 0.333, 0.000)
Y (0.833, 0.167, 0.500)
Ho (0.000, 0.000, 0.000)

| no. | magnetic moment (μB per formula unit) | calculated volume (Å³ per atom) | energy (eV/atom) |
| --- | --- | --- | --- |
| 1 | 2.47 | 20.118 | -2.614 |
| 2 | 0.00 | 15.316 | -3.687 |
| 3 | 0.00 | 32.940 | -3.851 |
| 4 | 0.00 | 22.413 | -3.286 |
| 5 | 0.00 | 21.929 | -3.001 |
| 6 | 0.00 | 16.842 | -3.945 |
| 7 | 0.00 | 16.397 | -5.721 |
| 8 | 0.00 | 31.677 | -5.355 |